# SrP2Cl SCAN single point on PBEsol structure
# polymorph energy (0 for the lowest one)	0.0	meV per atom
data_SrP2Cl
_cell_length_a 3.947
_cell_length_b 3.535
_cell_length_c 6.988
_cell_angle_alpha 90.00
_cell_angle_beta 101.53
_cell_angle_gamma 90.00
_space_group_name_H-M_alt 'P 1 m 1'
_space_group_IT_number 6
loop_
_space_group_symop_operation_xyz
'x,y,z'
'x,-y,z'
loop_
_atom_site_label
_atom_site_fract_x
_atom_site_fract_y
_atom_site_fract_z
Sr1 0.000 0.000 0.000
P1 0.048 0.500 0.656
P2 0.374 0.000 0.623
Cl1 0.560 0.500 0.169



# SrP2Cl SCAN single point on PBEsol structure
# polymorph energy (0 for the lowest one)	779.5	meV per atom
data_SrP2Cl
_cell_length_a 6.976
_cell_length_b 6.976
_cell_length_c 6.976
_cell_angle_alpha 90.00
_cell_angle_beta 90.00
_cell_angle_gamma 90.00
_space_group_name_H-M_alt 'F -4 3 m'
_space_group_IT_number 216
_space_group_name_Hall 'F -4 2 3'
loop_
_atom_site_label
_atom_site_fract_x
_atom_site_fract_y
_atom_site_fract_z
Sr1 0.000 0.000 0.000
P1 0.000 0.000 0.500
P2 0.250 0.250 0.750
Cl1 0.250 0.250 0.250



# SrTeP2Cl SCAN single point on PBEsol structure
# uncorrected energy	-85.770	eV/cell
data_SrTeP2Cl
_cell_length_a 5.602
_cell_length_b 5.602
_cell_length_c 5.118
_cell_angle_alpha 90.00
_cell_angle_beta 90.00
_cell_angle_gamma 90.00
_space_group_name_H-M_alt 'P 4/m m m'
_space_group_IT_number 123
_space_group_name_Hall '-P 4 2'
loop_
_atom_site_label
_atom_site_fract_x
_atom_site_fract_y
_atom_site_fract_z
Sr1 0.000 0.000 0.000
Te1 0.500 0.500 0.500
P1 0.000 0.500 0.000
Cl1 0.000 0.000 0.500